Compound: SrH16O10
Source: Alexandria via LeMat-Bulk
Functional: PBE-GGA
Structure: optimized geometry

Cell: 10.3219 8.4049 11.2517 Å, 90.00 98.59 90.00°
Space group Cc (No. 9)
Symmetry-distinct sites (fractional):
Sr 0.0000 0.0143 0.0000 (multiplicity 4)
H 0.0014 0.3771 0.0816 (multiplicity 4)
H 0.0166 0.3135 0.3711 (multiplicity 4)
H 0.0983 0.3141 0.8831 (multiplicity 4)
H 0.1022 0.2027 0.7708 (multiplicity 4)
H 0.1035 0.3380 0.5879 (multiplicity 4)
H 0.2014 0.4292 0.3769 (multiplicity 4)
H 0.2153 0.2043 0.6340 (multiplicity 4)
H 0.2291 0.4503 0.0859 (multiplicity 4)
H 0.2565 0.0751 0.2025 (multiplicity 4)
H 0.2622 0.0485 0.8787 (multiplicity 4)
H 0.2648 0.2060 0.1054 (multiplicity 4)
H 0.2798 0.2678 0.3587 (multiplicity 4)
H 0.3231 0.4110 0.2073 (multiplicity 4)
H 0.3576 0.1716 0.5356 (multiplicity 4)
H 0.4082 0.0228 0.3798 (multiplicity 4)
H 0.4544 0.2785 0.7551 (multiplicity 4)
O 0.0669 0.4970 0.4134 (multiplicity 4)
O 0.0896 0.4959 0.5473 (multiplicity 4)
O 0.1085 0.1983 0.8602 (multiplicity 4)
O 0.1203 0.2177 0.6209 (multiplicity 4)
O 0.2243 0.1010 0.1171 (multiplicity 4)
O 0.2892 0.3847 0.3594 (multiplicity 4)
O 0.3105 0.0477 0.3608 (multiplicity 4)
O 0.3229 0.4099 0.1189 (multiplicity 4)
O 0.4326 0.2131 0.5905 (multiplicity 4)
O 0.4836 0.2947 0.8417 (multiplicity 4)

Results
As for the uncorrected energy: -542.28 eV per cell. The density of states at the Fermi level comes out at 0.00 states/eV per cell. As for the total magnetization: 0.50 μB/cell.



Compound: Nd3Mg2Pd3
Source: Alexandria via LeMat-Bulk
Functional: PBE-GGA
Structure: optimized geometry

Cell: 3.5783 5.0756 20.7921 Å, 90.00 90.00 90.00°
Space group Immm (No. 71)
Symmetry-distinct sites (fractional):
Nd 0.0000 0.0000 0.0000 (multiplicity 2)
Nd 0.0000 0.5000 0.1208 (multiplicity 4)
Mg 0.0000 0.0000 0.2333 (multiplicity 4)
Pd 0.0000 0.0000 0.5000 (multiplicity 2)
Pd 0.0000 0.5000 0.3683 (multiplicity 4)

Results
The calculation puts the energy of formation at -0.55 eV per atom. As for the uncorrected energy: -74.91 eV per cell. The density of states at the Fermi level comes out at 11.79 states/eV per cell. As for the total magnetization: 0.00 μB/cell.